The following is a DFT calculation (PBE) of an optimized crystal structure of TlAu3O6.

The structure belongs to space group Cmmm (No. 65); the cell edges are 7.342, 10.472 and 3.637 Å and the angles 90.00°, 90.00° and 90.00°. The inequivalent atoms are Tl at (0.000, 0.000, 0.000), Au at (0.000, 0.500, 0.000), Au at (0.250, 0.250, 0.500), O at (0.000, 0.148, 0.500) and O at (0.201, 0.369, 0.000).

The total energy is -43.10 eV per formula unit. The size of the total moment is 0.000 Bohr magnetons per cell. As for the formation energy from raw total energies: -1.149 eV per formula unit.